Below is a relaxed La2TcAs crystal, with properties calculated at the GGA-PBE level.

a = 4.250 Å, b = 4.325 Å, c = 5.917 Å
α = 68.54°, β = 90.00°, γ = 90.00°
Positions (direct):
As  0.500  0.557  0.760
Tc  0.000  0.697  0.481
La  0.000  0.985  0.905
La  0.500  0.261  0.354

DFT formation energy: -2.34 eV per formula unit
density: 7.39 g/cm³
spin magnetization: 0.00 μB per formula unit
E_tot: -6.80 eV per atom

---

Below is a relaxed La2TcAs crystal, with properties calculated at the GGA-PBE level.

a = 8.025 Å, b = 8.025 Å, c = 6.449 Å
α = 51.52°, β = 51.52°, γ = 90.00°
Positions (direct):
As  0.500  0.500  0.000
As  0.250  0.750  0.500
Tc  0.000  0.000  0.000
Tc  0.750  0.250  0.500
La  0.679  0.125  0.250
La  0.071  0.625  0.250
La  0.375  0.321  0.750
La  0.875  0.929  0.750

DFT formation energy: -0.82 eV per formula unit
density: 7.59 g/cm³
spin magnetization: 0.00 μB per formula unit
E_tot: -6.42 eV per atom

---

Below is a relaxed LaTcAs3 crystal, with properties calculated at the GGA-PBE level.

a = 5.393 Å, b = 5.393 Å, c = 5.393 Å
α = 90.00°, β = 90.00°, γ = 90.00°
Positions (direct):
As  0.000  0.500  0.000
As  0.000  0.000  0.500
As  0.500  0.000  0.000
Tc  0.500  0.500  0.500
La  0.000  0.000  0.000

offset from the most stable computed form: 1914.6 meV per atom
DFT formation energy: 8.37 eV per formula unit
density: 4.89 g/cm³
spin magnetization: 0.00 μB per formula unit
E_tot: -4.17 eV per atom

---

Below is a relaxed LaTc2As crystal, with properties calculated at the GGA-PBE level.

a = 4.034 Å, b = 3.667 Å, c = 5.772 Å
α = 85.60°, β = 90.00°, γ = 90.00°
Positions (direct):
As  0.000  0.398  0.456
Tc  0.000  0.927  0.160
Tc  0.500  0.308  0.171
La  0.500  0.867  0.713

DFT formation energy: -0.57 eV per formula unit
density: 7.99 g/cm³
spin magnetization: 0.00 μB per formula unit
E_tot: -7.72 eV per atom

---

Below is a relaxed LaTc3As crystal, with properties calculated at the GGA-PBE level.

a = 4.677 Å, b = 4.677 Å, c = 4.677 Å
α = 90.00°, β = 90.00°, γ = 90.00°
Last column: magnetic moment on the atom in μB.
Positions (direct):
As  0.000  0.000  0.000  -0.03
Tc  0.000  0.500  0.000  0.66
Tc  0.000  0.000  0.500  0.67
Tc  0.500  0.000  0.000  0.39
La  0.500  0.500  0.500  0.05

offset from the most stable computed form: 0.0 meV per atom
DFT formation energy: 2.32 eV per formula unit
density: 8.24 g/cm³
spin magnetization: 2.00 μB per formula unit
E_tot: -7.67 eV per atom

---

Below is a relaxed LaTcAs2 crystal, with properties calculated at the GGA-PBE level.

a = 7.055 Å, b = 4.693 Å, c = 3.808 Å
α = 90.01°, β = 57.32°, γ = 122.18°
Last column: magnetic moment on the atom in μB.
Positions (direct):
As  0.000  0.000  0.000  -0.01
As  0.500  0.000  0.500  -0.01
Tc  0.500  0.500  0.000  0.88
La  0.000  0.500  0.500  0.00

offset from the most stable computed form: 578.9 meV per atom
DFT formation energy: -0.62 eV per formula unit
density: 7.82 g/cm³
spin magnetization: 0.96 μB per formula unit
E_tot: -6.30 eV per atom

---

Below is a relaxed LaTc2As crystal, with properties calculated at the GGA-PBE level.

a = 3.127 Å, b = 3.127 Å, c = 8.312 Å
α = 90.00°, β = 90.00°, γ = 113.92°
Positions (direct):
As  0.500  0.500  0.250
Tc  0.000  0.000  0.038
Tc  0.000  0.000  0.462
La  0.500  0.500  0.750

DFT formation energy: 1.49 eV per formula unit
density: 9.16 g/cm³
spin magnetization: 0.00 μB per formula unit
E_tot: -7.21 eV per atom

---

Below is a relaxed LaTcAs2 crystal, with properties calculated at the GGA-PBE level.

a = 4.850 Å, b = 4.850 Å, c = 4.850 Å
α = 60.00°, β = 60.00°, γ = 60.00°
Positions (direct):
As  0.000  0.000  0.000
As  0.250  0.250  0.250
Tc  0.750  0.750  0.750
La  0.500  0.500  0.500

offset from the most stable computed form: 809.6 meV per atom
DFT formation energy: 0.30 eV per formula unit
density: 7.96 g/cm³
spin magnetization: 0.00 μB per formula unit
E_tot: -6.07 eV per atom

---

Below is a relaxed LaTc2As crystal, with properties calculated at the GGA-PBE level.

a = 5.412 Å, b = 5.412 Å, c = 3.104 Å
α = 72.82°, β = 72.82°, γ = 109.71°
Positions (direct):
As  0.500  0.000  0.500
Tc  0.000  0.000  0.000
Tc  0.500  0.500  0.000
La  0.000  0.500  0.500

DFT formation energy: 1.01 eV per formula unit
density: 9.26 g/cm³
spin magnetization: 0.00 μB per formula unit
E_tot: -7.32 eV per atom

---

Below is a relaxed LaTc2As crystal, with properties calculated at the GGA-PBE level.

a = 5.500 Å, b = 5.500 Å, c = 5.500 Å
α = 146.89°, β = 122.54°, γ = 67.94°
Positions (direct):
As  0.750  0.250  0.500
Tc  0.966  0.966  0.000
Tc  0.534  0.534  0.000
La  0.250  0.750  0.500

DFT formation energy: 0.86 eV per formula unit
density: 9.00 g/cm³
spin magnetization: 0.00 μB per formula unit
E_tot: -7.36 eV per atom

---

Below is a relaxed La2TcAs crystal, with properties calculated at the GGA-PBE level.

a = 4.959 Å, b = 4.959 Å, c = 3.914 Å
α = 90.00°, β = 90.00°, γ = 90.17°
Positions (direct):
As  0.000  0.500  0.500
Tc  0.500  0.000  0.500
La  0.000  0.000  0.000
La  0.500  0.500  0.000

DFT formation energy: -1.50 eV per formula unit
density: 7.78 g/cm³
spin magnetization: 0.00 μB per formula unit
E_tot: -6.59 eV per atom

---

Below is a relaxed LaTcAs3 crystal, with properties calculated at the GGA-PBE level.

a = 4.878 Å, b = 4.878 Å, c = 4.878 Å
α = 90.00°, β = 90.00°, γ = 90.00°
Positions (direct):
As  0.000  0.500  0.000
As  0.000  0.000  0.500
As  0.500  0.000  0.000
Tc  0.000  0.000  0.000
La  0.500  0.500  0.500

offset from the most stable computed form: 0.0 meV per atom
DFT formation energy: -1.20 eV per formula unit
density: 6.60 g/cm³
spin magnetization: 0.00 μB per formula unit
E_tot: -6.09 eV per atom

---

Below is a relaxed LaTcAs2 crystal, with properties calculated at the GGA-PBE level.

a = 4.261 Å, b = 4.060 Å, c = 5.200 Å
α = 94.77°, β = 90.00°, γ = 90.00°
Positions (direct):
As  0.000  0.696  0.006
As  0.000  0.804  0.494
Tc  0.500  0.750  0.750
La  0.500  0.250  0.250

offset from the most stable computed form: 235.7 meV per atom
DFT formation energy: -2.00 eV per formula unit
density: 7.16 g/cm³
spin magnetization: 0.00 μB per formula unit
E_tot: -6.65 eV per atom

---

Below is a relaxed LaTc2As crystal, with properties calculated at the GGA-PBE level.

a = 3.285 Å, b = 5.182 Å, c = 5.422 Å
α = 52.39°, β = 90.00°, γ = 90.00°
Positions (direct):
As  0.500  0.500  0.500
Tc  0.000  0.000  0.000
Tc  0.500  0.500  0.000
La  0.000  0.000  0.500

DFT formation energy: 0.73 eV per formula unit
density: 9.31 g/cm³
spin magnetization: 0.00 μB per formula unit
E_tot: -7.39 eV per atom

---

Below is a relaxed LaTc2As crystal, with properties calculated at the GGA-PBE level.

a = 4.411 Å, b = 4.411 Å, c = 9.561 Å
α = 76.66°, β = 76.66°, γ = 90.00°
Positions (direct):
As  0.500  0.500  0.000
As  0.250  0.750  0.500
Tc  0.497  0.125  0.250
Tc  0.253  0.625  0.250
Tc  0.375  0.503  0.750
Tc  0.875  0.747  0.750
La  0.000  0.000  0.000
La  0.750  0.250  0.500

DFT formation energy: 0.07 eV per formula unit
density: 7.74 g/cm³
spin magnetization: 0.00 μB per formula unit
E_tot: -7.56 eV per atom

---

Below is a relaxed LaTc2As crystal, with properties calculated at the GGA-PBE level.

a = 4.362 Å, b = 4.547 Å, c = 4.432 Å
α = 84.11°, β = 90.00°, γ = 90.00°
Positions (direct):
As  0.500  0.250  0.250
Tc  0.000  0.128  0.995
Tc  0.000  0.372  0.505
La  0.500  0.750  0.750

DFT formation energy: 0.03 eV per formula unit
density: 7.78 g/cm³
spin magnetization: 0.00 μB per formula unit
E_tot: -7.57 eV per atom

---

Below is a relaxed LaTcAs2 crystal, with properties calculated at the GGA-PBE level.

a = 4.802 Å, b = 4.802 Å, c = 4.802 Å
α = 60.00°, β = 60.00°, γ = 60.00°
Positions (direct):
As  0.250  0.250  0.250
As  0.750  0.750  0.750
Tc  0.000  0.000  0.000
La  0.500  0.500  0.500

offset from the most stable computed form: 313.5 meV per atom
DFT formation energy: -1.69 eV per formula unit
density: 8.20 g/cm³
spin magnetization: 0.00 μB per formula unit
E_tot: -6.57 eV per atom

---

Below is a relaxed La3TcAs crystal, with properties calculated at the GGA-PBE level.

a = 5.375 Å, b = 5.375 Å, c = 5.375 Å
α = 90.00°, β = 90.00°, γ = 90.00°
Positions (direct):
As  0.500  0.500  0.500
Tc  0.000  0.000  0.000
La  0.000  0.500  0.000
La  0.000  0.000  0.500
La  0.500  0.000  0.000

offset from the most stable computed form: 0.0 meV per atom
DFT formation energy: -1.40 eV per formula unit
density: 6.31 g/cm³
spin magnetization: 0.00 μB per formula unit
E_tot: -6.24 eV per atom

---

Below is a relaxed La2TcAs crystal, with properties calculated at the GGA-PBE level.

a = 6.709 Å, b = 6.709 Å, c = 4.601 Å
α = 69.94°, β = 69.94°, γ = 31.52°
Positions (direct):
As  0.814  0.814  0.686
Tc  0.461  0.461  0.539
La  0.996  0.996  0.004
La  0.229  0.229  0.271

DFT formation energy: -1.93 eV per formula unit
density: 7.40 g/cm³
spin magnetization: 0.00 μB per formula unit
E_tot: -6.70 eV per atom

---

Below is a relaxed LaTcAs2 crystal, with properties calculated at the GGA-PBE level.

a = 3.243 Å, b = 3.243 Å, c = 7.291 Å
α = 90.00°, β = 90.00°, γ = 90.07°
Positions (direct):
As  0.000  0.000  0.949
As  0.000  0.000  0.551
Tc  0.500  0.500  0.750
La  0.500  0.500  0.250

offset from the most stable computed form: 319.0 meV per atom
DFT formation energy: -1.66 eV per formula unit
density: 8.37 g/cm³
spin magnetization: 0.00 μB per formula unit
E_tot: -6.56 eV per atom